Record 1
Ce2Be3CuSi4 | PBE | relaxed

The energy relative to the elements, uncorrected comes out at -0.434 eV per atom. Its volume is 153 Å³/cell. The total moment is 0.8 μB/f.u. As for the energy: -53.17 eV per formula unit.

a b c (Å): 4.016 4.016 9.472
angles (deg): 90.00 90.00 90.00
Fractional positions:
Ce1 0.000 0.500 0.246
Ce2 0.500 0.000 0.754
Be1 0.000 0.500 0.876
Be2 0.500 0.000 0.124
Be3 0.500 0.500 0.500
Cu1 0.000 0.000 0.500
Si1 0.000 0.000 0.000
Si2 0.000 0.500 0.636
Si3 0.500 0.000 0.364
Si4 0.500 0.500 0.000



Record 2
CeDyBeGa | PBE | relaxed

Its volume is 87 Å³/cell. The total moment is 0.3 μB/f.u. As for the energy: -17.99 eV per formula unit. The value obtained for the formation energy is -67 kJ/mol of formula units.

a b c (Å): 4.976 4.976 4.976
angles (deg): 60.00 60.00 60.00
Fractional positions:
Ce1 0.000 0.000 0.000
Dy1 0.500 0.500 0.500
Be1 0.750 0.750 0.750
Ga1 0.250 0.250 0.250



Record 3
CeDyBeN3 | PBE | relaxed

The energy relative to the elements, uncorrected comes out at -1.319 eV per atom. Its volume is 160 Å³/cell. The total moment is 0.0 μB/f.u. As for the energy: -47.15 eV per formula unit.

a b c (Å): 6.828 3.325 7.116
angles (deg): 90.00 98.62 90.00
Fractional positions:
Ce1 0.206 0.250 0.168
Ce2 0.794 0.750 0.832
Dy1 0.189 0.250 0.649
Dy2 0.811 0.750 0.351
Be1 0.402 0.750 0.923
Be2 0.598 0.250 0.077
N1 0.145 0.750 0.886
N2 0.163 0.750 0.395
N3 0.492 0.250 0.847
N4 0.508 0.750 0.153
N5 0.837 0.250 0.605
N6 0.855 0.250 0.114



Record 4
CeDy2BeN4 | PBE | relaxed

The energy relative to the elements, uncorrected comes out at -1.389 eV per atom. Its volume is 214 Å³/cell. The total moment is 0.1 μB/f.u. As for the energy: -63.27 eV per formula unit.

a b c (Å): 5.792 5.792 11.349
angles (deg): 90.00 90.00 145.86
Fractional positions:
Ce1 0.097 0.903 0.750
Ce2 0.903 0.097 0.250
Dy1 0.368 0.632 0.554
Dy2 0.368 0.632 0.946
Dy3 0.632 0.368 0.054
Dy4 0.632 0.368 0.446
Be1 0.184 0.816 0.250
Be2 0.816 0.184 0.750
N1 0.000 0.000 0.000
N2 0.000 0.000 0.500
N3 0.271 0.729 0.132
N4 0.271 0.729 0.368
N5 0.442 0.558 0.750
N6 0.558 0.442 0.250
N7 0.729 0.271 0.632
N8 0.729 0.271 0.868



Record 5
Ce2ErBe | PBE | relaxed

Its volume is 101 Å³/cell. The total moment is 0.7 μB/f.u. As for the energy: -17.32 eV per formula unit. The value obtained for the formation energy is 274 kJ/mol of formula units.

a b c (Å): 11.868 11.868 11.868
angles (deg): 15.29 15.29 15.29
Fractional positions:
Ce1 0.083 0.083 0.083
Ce2 0.917 0.917 0.917
Er1 0.500 0.500 0.500
Be1 0.000 0.000 0.000



Record 6
CeErBeGa | PBE | relaxed

Its volume is 86 Å³/cell. The total moment is 0.3 μB/f.u. As for the energy: -17.99 eV per formula unit. The value obtained for the formation energy is -72 kJ/mol of formula units.

a b c (Å): 4.951 4.951 4.951
angles (deg): 60.00 60.00 60.00
Fractional positions:
Ce1 0.000 0.000 0.000
Er1 0.500 0.500 0.500
Be1 0.750 0.750 0.750
Ga1 0.250 0.250 0.250



Record 7
CeEr2BeN4 | PBE | relaxed

The energy relative to the elements, uncorrected comes out at -1.444 eV per atom. Its volume is 208 Å³/cell. The total moment is 0.1 μB/f.u. As for the energy: -63.64 eV per formula unit.

a b c (Å): 5.742 5.742 11.257
angles (deg): 90.00 90.00 145.93
Fractional positions:
Ce1 0.098 0.902 0.750
Ce2 0.902 0.098 0.250
Er1 0.368 0.632 0.554
Er2 0.368 0.632 0.946
Er3 0.632 0.368 0.054
Er4 0.632 0.368 0.446
Be1 0.181 0.819 0.250
Be2 0.819 0.181 0.750
N1 0.000 0.000 0.000
N2 0.000 0.000 0.500
N3 0.270 0.730 0.131
N4 0.270 0.730 0.369
N5 0.439 0.561 0.750
N6 0.561 0.439 0.250
N7 0.730 0.270 0.631
N8 0.730 0.270 0.869



Record 8
CeBeF6 | PBE | relaxed

The energy relative to the elements, uncorrected comes out at -3.416 eV per atom. Its volume is 108 Å³/cell. The total moment is 0.0 μB/f.u. As for the energy: -48.21 eV per formula unit.

a b c (Å): 5.484 5.484 5.484
angles (deg): 56.86 56.86 56.86
Fractional positions:
Ce1 0.000 0.000 0.000
Be1 0.500 0.500 0.500
F1 0.170 0.387 0.719
F2 0.281 0.830 0.613
F3 0.387 0.719 0.170
F4 0.613 0.281 0.830
F5 0.719 0.170 0.387
F6 0.830 0.613 0.281



Record 9
CeBeF5 | PBE | relaxed

The energy relative to the elements, uncorrected comes out at -3.656 eV per atom. Its volume is 254 Å³/cell. The total moment is 1.0 μB/f.u. As for the energy: -44.61 eV per formula unit.

a b c (Å): 5.816 5.816 8.456
angles (deg): 109.38 109.38 86.76
Fractional positions:
Ce1 0.000 0.500 0.000
Ce2 0.500 0.000 0.500
Be1 0.132 0.868 0.750
Be2 0.868 0.132 0.250
F1 0.130 0.162 0.393
F2 0.155 0.671 0.842
F3 0.162 0.130 0.893
F4 0.329 0.845 0.658
F5 0.335 0.665 0.250
F6 0.665 0.335 0.750
F7 0.671 0.155 0.342
F8 0.838 0.870 0.107
F9 0.845 0.329 0.158
F10 0.870 0.838 0.607



Record 10
KCeBeF6 | PBE | relaxed

The energy relative to the elements, uncorrected comes out at -3.319 eV per atom. Its volume is 150 Å³/cell. The total moment is 1.0 μB/f.u. As for the energy: -51.85 eV per formula unit.

a b c (Å): 5.558 5.558 5.609
angles (deg): 90.00 90.00 120.00
Fractional positions:
K1 0.000 0.000 0.000
Ce1 0.667 0.333 0.500
Be1 0.333 0.667 0.500
F1 0.066 0.404 0.313
F2 0.066 0.662 0.687
F3 0.338 0.404 0.687
F4 0.338 0.934 0.313
F5 0.596 0.662 0.313
F6 0.596 0.934 0.687



Record 11
RbCeBe2F8 | PBE | relaxed

The energy relative to the elements, uncorrected comes out at -3.424 eV per atom. Its volume is 189 Å³/cell. The total moment is 1.0 μB/f.u. As for the energy: -70.42 eV per formula unit.

a b c (Å): 8.811 8.811 8.811
angles (deg): 33.84 33.84 33.84
Fractional positions:
Rb1 0.000 0.000 0.000
Ce1 0.500 0.500 0.500
Be1 0.249 0.249 0.249
Be2 0.751 0.751 0.751
F1 0.062 0.491 0.774
F2 0.226 0.509 0.938
F3 0.309 0.309 0.309
F4 0.491 0.774 0.062
F5 0.509 0.938 0.226
F6 0.691 0.691 0.691
F7 0.774 0.062 0.491
F8 0.938 0.226 0.509



Record 12
CeBe2TlF8 | PBE | relaxed

The energy relative to the elements, uncorrected comes out at -3.245 eV per atom. Its volume is 189 Å³/cell. The total moment is 1.0 μB/f.u. As for the energy: -69.67 eV per formula unit.

a b c (Å): 8.503 8.503 8.503
angles (deg): 35.84 35.84 35.84
Fractional positions:
Ce1 0.000 0.000 0.000
Be1 0.250 0.250 0.250
Be2 0.750 0.750 0.750
Tl1 0.500 0.500 0.500
F1 0.002 0.442 0.729
F2 0.187 0.187 0.187
F3 0.271 0.998 0.558
F4 0.442 0.729 0.002
F5 0.558 0.271 0.998
F6 0.729 0.002 0.442
F7 0.813 0.813 0.813
F8 0.998 0.558 0.271